Below is Ce2SmTl4 after structural relaxation, with properties calculated at the PBE level.

a b c (Å): 7.8240 7.8240 7.3526
angles (deg): 90.00 90.00 90.00
Closest atoms and distances in Å follow each position.
Space group I4/mmm (No. 139)
Unique sites:
Ce 0.0000 0.5000 0.0000  8 Tl 3.32, 2 Ce 3.68
Sm 0.0000 0.0000 0.0000  8 Tl 3.32
Tl 0.2500 0.2500 0.2500  4 Ce 3.32, 2 Sm 3.32, 2 Tl 3.68

Calculated values
DOS(E_F) = 34.2 states/eV/cell
Formation energy from the elements = -1.02 eV/f.u.
Energy above the most stable polymorph in this dataset = 42.1 meV/atom